1.
TbPm3In2 | GGA-PBE | optimized geometry

Properties
DOS(E_F) = 13.89 states/eV/cell
Offset from the most stable computed form = 47 meV/atom
ΔE_f = -307.5 meV/atom

Cell and atoms, written as extended XYZ:
```
12
Lattice="5.006 0.000 0.000 0.000 9.184 0.000 -2.503 -4.592 7.775" Properties=species:S:1:pos:R:3 pbc="T T T"
In 0.000 4.592 5.357
Pm 0.000 6.888 2.694
Pm 2.503 -2.296 5.080
Tb 0.000 0.000 0.000
Pm 2.503 6.888 0.000
In 0.000 0.000 5.357
In 2.503 4.592 2.418
In 2.503 0.000 2.418
Pm 2.503 2.296 5.080
Pm 2.503 2.296 0.000
Tb 0.000 4.592 0.000
Pm 0.000 2.296 2.694
```

---

2.
Be2TlAs | GGA-PBE | optimized geometry

Properties
DOS(E_F) = 1.16 states/eV/cell
Offset from the most stable computed form = 552 meV/atom
ΔE_f = 755.2 meV/atom

Cell and atoms, written as extended XYZ:
```
4
Lattice="4.750 0.067 0.000 0.845 4.675 0.000 -2.798 -2.371 3.020" Properties=species:S:1:pos:R:3 pbc="T T T"
Be 0.000 0.000 0.000
Tl 0.423 2.337 1.510
Be 2.798 2.371 0.000
As 2.375 0.034 1.510
```

---

3.
Ba7Au5 | GGA-PBE | optimized geometry

Properties
DOS(E_F) = 8.32 states/eV/cell
ΔE_f = -614.7 meV/atom

Cell and atoms, written as extended XYZ:
```
12
Lattice="4.564 0.000 0.836 1.904 7.559 2.484 -0.321 0.445 14.627" Properties=species:S:1:pos:R:3 pbc="T T T"
Au 3.925 3.190 4.323
Ba 1.305 1.097 5.751
Au 5.435 6.312 8.956
Au 0.712 1.692 8.990
Ba 3.073 4.002 8.973
Ba 4.695 2.577 12.997
Ba 1.452 5.427 4.950
Au 0.000 0.000 0.000
Ba 2.059 1.989 1.637
Ba 4.088 6.014 16.310
Au 2.221 4.814 13.623
Ba 4.842 6.906 12.196
```

---

4.
Dy2TmAu | GGA-PBE | optimized geometry

Properties
DOS(E_F) = 12.62 states/eV/cell
Offset from the most stable computed form = 0 meV/atom
ΔE_f = -452.3 meV/atom

Cell and atoms, written as extended XYZ:
```
16
Lattice="6.657 0.000 0.000 0.000 6.911 0.000 0.000 0.000 9.676" Properties=species:S:1:pos:R:3 pbc="T T T"
Dy 4.641 5.531 5.363
Au 3.111 6.334 2.419
Tm 0.766 6.805 7.257
Tm 5.891 0.106 2.419
Dy 4.641 5.531 9.151
Au 3.546 0.578 7.257
Dy 5.345 2.075 5.363
Dy 2.016 1.381 4.313
Dy 2.016 1.381 0.525
Dy 1.312 4.836 0.525
Au 6.440 4.033 7.257
Tm 4.095 3.562 2.419
Dy 5.345 2.075 9.151
Dy 1.312 4.836 4.313
Tm 2.562 3.350 7.257
Au 0.217 2.878 2.419
```

---

5.
Ce8TcHg2 | GGA-PBE | optimized geometry

Properties
DOS(E_F) = 26.71 states/eV/cell
ΔE_f = -138.3 meV/atom

Cell and atoms, written as extended XYZ:
```
11
Lattice="5.398 0.000 -1.632 -0.778 6.510 -2.574 -0.413 -0.545 8.377" Properties=species:S:1:pos:R:3 pbc="T T T"
Ce 2.624 5.305 -1.064
Hg 0.375 4.338 1.240
Ce 0.524 0.760 1.734
Ce 4.778 1.157 6.060
Ce 3.683 5.205 2.437
Ce -0.571 4.807 -1.889
Ce 2.946 2.572 0.000
Hg 3.832 1.626 2.931
Ce 1.583 0.659 5.235
Ce 1.261 3.393 4.171
Tc 2.286 -0.545 7.560
```

---

6.
ZrAgCl2 | GGA-PBE | optimized geometry

Properties
DOS(E_F) = 2.34 states/eV/cell
Offset from the most stable computed form = 223 meV/atom

Cell and atoms, written as extended XYZ:
```
4
Lattice="-1.078 3.135 -0.011 -3.132 -1.078 -0.121 -0.287 -0.069 8.026" Properties=species:S:1:pos:R:3 pbc="T T T"
Cl -2.197 1.006 2.499
Cl -0.263 -0.064 7.362
Ag -2.319 0.977 5.906
Zr -0.149 -0.036 4.165
```

---

7.
Pr2PaSi6 | GGA-PBE | optimized geometry

Properties
DOS(E_F) = 6.24 states/eV/cell
E = -56.5 eV/cell

Cell and atoms, written as extended XYZ:
```
9
Lattice="-1.553 -3.591 -1.328 6.485 -2.031 -2.091 -2.234 -1.470 6.588" Properties=species:S:1:pos:R:3 pbc="T T T"
Pr 0.672 -1.657 3.695
Pa 0.000 0.000 0.000
Si 1.357 -2.464 -1.352
Si 1.341 -4.628 4.521
Si 0.622 -2.947 0.816
Si -1.511 -2.279 1.504
Si 2.076 -4.145 2.354
Si -2.275 -2.782 3.757
Pr 2.026 -5.435 -0.526
```

---

8.
Sc4AlGa2Ag | GGA-PBE | optimized geometry

Properties
DOS(E_F) = 6.61 states/eV/cell
ΔE_f = -477.9 meV/atom

Cell and atoms, written as extended XYZ:
```
8
Lattice="-3.353 3.417 0.114 -4.629 -1.196 0.252 -2.267 0.865 7.948" Properties=species:S:1:pos:R:3 pbc="T T T"
Sc -5.272 1.496 1.222
Sc -4.977 1.589 7.091
Al 0.000 0.000 0.000
Sc -7.835 2.267 3.292
Ga -2.560 0.772 2.117
Sc -2.414 0.818 5.022
Ga -7.689 2.313 6.197
Ag -5.125 1.543 4.157
```